# 1
First-principles (PBE) data for a relaxed Pa2IrRu crystal, as listed in Alexandria.

Lattice parameters (Å, degrees): 5.6183 5.6256 12.5260 63.54 90.00 90.00
Last column: nearest neighbours and their distance in Å.
Positions (direct):
Pa (0.2502, 0.1220, 0.3781)  3 Ru 2.77-2.81, 3 Ir 2.81-2.84
Pa (0.7498, 0.8780, 0.6219)  3 Ru 2.77-2.81, 3 Ir 2.81-2.84
Pa (0.2502, 0.8780, 0.1219)  3 Ru 2.77-2.81, 3 Ir 2.81-2.84
Pa (0.7498, 0.1220, 0.8781)  3 Ru 2.77-2.81, 3 Ir 2.81-2.84
Pa (0.2499, 0.3714, 0.6280)  3 Ru 2.77-2.81, 3 Ir 2.81-2.84
Pa (0.7501, 0.6286, 0.3720)  3 Ru 2.77-2.81, 3 Ir 2.81-2.84
Pa (0.2499, 0.6286, 0.8720)  3 Ru 2.77-2.81, 3 Ir 2.81-2.84
Pa (0.7501, 0.3714, 0.1280)  3 Ru 2.77-2.81, 3 Ir 2.81-2.84
Ir (0.7498, 0.6251, 0.8749)  6 Pa 2.81-2.84
Ir (0.2502, 0.3749, 0.1251)  6 Pa 2.81-2.84
Ir (0.7498, 0.3749, 0.6251)  6 Pa 2.81-2.84
Ir (0.2502, 0.6251, 0.3749)  6 Pa 2.81-2.84
Ru (0.7502, 0.8747, 0.1249)  6 Pa 2.77-2.81
Ru (0.2498, 0.1253, 0.8751)  6 Pa 2.77-2.81
Ru (0.7502, 0.1253, 0.3751)  6 Pa 2.77-2.81
Ru (0.2498, 0.8747, 0.6249)  6 Pa 2.77-2.81

Properties
The energy is -9.961 eV/atom. For the density of states at the Fermi level, the calculation gives 0.602 states/eV/atom. As for the total magnetization: 0.00 Bohr magnetons per cell.

=====

# 2
First-principles (PBE) data for a relaxed V3Pb3N5 crystal, as listed in Alexandria.

Lattice parameters (Å, degrees): 5.9794 7.7312 8.6548 106.62 96.93 103.02
Last column: nearest neighbours and their distance in Å.
Positions (direct):
V (0.9536, 0.3153, 0.9805)  4 N 1.86-1.89
V (0.0464, 0.6847, 0.0195)  4 N 1.86-1.89
V (0.6776, 0.9896, 0.6062)  4 N 1.81-2.00
V (0.3224, 0.0104, 0.3938)  4 N 1.81-2.00
V (0.0822, 0.9243, 0.7113)  4 N 1.81-1.98
V (0.9178, 0.0757, 0.2887)  4 N 1.81-1.98
Pb (0.7702, 0.4751, 0.5608)  1 N 2.43
Pb (0.2298, 0.5249, 0.4392)  1 N 2.43
Pb (0.5273, 0.8193, 0.8715)  1 N 2.57
Pb (0.4727, 0.1807, 0.1285)  1 N 2.57
Pb (0.6174, 0.6598, 0.2246)  4 N 2.58-2.76
Pb (0.3826, 0.3402, 0.7754)  4 N 2.58-2.76
N (0.9396, 0.1353, 0.7755)  3 V 1.89-1.98
N (0.0604, 0.8647, 0.2245)  3 V 1.89-1.98
N (0.8029, 0.7933, 0.5582)  2 V 1.81-1.87
N (0.1971, 0.2067, 0.4418)  2 V 1.81-1.87
N (0.7809, 0.4868, 0.9778)  2 V 1.86
N (0.2191, 0.5132, 0.0222)  2 V 1.86
N (0.3309, 0.9402, 0.5872)  3 V 1.90-2.00
N (0.6691, 0.0598, 0.4128)  3 V 1.90-2.00
N (0.0883, 0.7956, 0.8566)  2 V 1.81-1.86
N (0.9117, 0.2044, 0.1434)  2 V 1.81-1.86

Properties
The uncorrected formation energy comes out at -0.257 eV/atom. For the density of states at the Fermi level, the calculation gives 0.531 states/eV/atom. As for the total magnetization: 1.63 Bohr magnetons per cell.

=====

# 3
First-principles (PBE) data for a relaxed LiNdSi2Pd crystal, as listed in Alexandria.

Lattice parameters (Å, degrees): 4.1107 4.1107 6.0105 110.00 110.00 90.00
Last column: nearest neighbours and their distance in Å.
Positions (direct):
Li (0.2500, 0.7500, 0.5000)  4 Si 2.52
Nd (0.0000, 0.0000, 0.0000)  8 Si 3.14, 4 Pd 3.34, 4 Li 3.34
Si (0.6122, 0.6122, 0.2244)  1 Si 2.36, 2 Li 2.52, 2 Pd 2.52
Si (0.3878, 0.3878, 0.7756)  1 Si 2.36, 2 Pd 2.52, 2 Li 2.52
Pd (0.7500, 0.2500, 0.5000)  4 Si 2.52

Properties
The uncorrected formation energy comes out at -0.765 eV/atom. For the density of states at the Fermi level, the calculation gives 0.504 states/eV/atom. As for the total magnetization: 0.00 Bohr magnetons per cell.

=====

# 4
First-principles (PBE) data for a relaxed PrGaSeO2 crystal, as listed in Alexandria.

Lattice parameters (Å, degrees): 5.4893 5.7494 6.4899 116.29 90.00 90.00
Last column: nearest neighbours and their distance in Å.
Positions (direct):
Pr (0.2500, 0.6226, 0.2452)  4 O 2.49
Pr (0.7500, 0.3774, 0.7548)  4 O 2.49
Ga (0.2500, 0.0257, 0.0515)  4 O 1.96
Ga (0.7500, 0.9743, 0.9485)  4 O 1.96
Se (0.7500, 0.7594, 0.5188)  1 Ga 2.50
Se (0.2500, 0.2406, 0.4812)  1 Ga 2.50
O (0.5000, 0.2374, 0.0000)  2 Ga 1.96
O (0.0000, 0.7626, 0.0000)  2 Ga 1.96
O (0.5000, 0.7626, 0.0000)  2 Ga 1.96
O (0.0000, 0.2374, 0.0000)  2 Ga 1.96

Properties
The uncorrected formation energy comes out at -2.078 eV/atom. For the density of states at the Fermi level, the calculation gives 0.000 states/eV/atom. As for the total magnetization: 0.00 Bohr magnetons per cell.

=====

# 5
First-principles (PBE) data for a relaxed TbPrIr2 crystal, as listed in Alexandria.

Lattice parameters (Å, degrees): 4.9660 4.9660 4.9660 60.00 60.00 60.00
Last column: nearest neighbours and their distance in Å.
Positions (direct):
Pr (0.0000, 0.0000, 0.0000)  8 Ir 3.04
Ir (0.2500, 0.2500, 0.2500)  4 Tb 3.04, 4 Pr 3.04
Ir (0.7500, 0.7500, 0.7500)  4 Tb 3.04, 4 Pr 3.04
Tb (0.5000, 0.5000, 0.5000)  8 Ir 3.04

Properties
The energy is -7.397 eV/atom. For the density of states at the Fermi level, the calculation gives 0.653 states/eV/atom. As for the total magnetization: 0.00 Bohr magnetons per cell.

=====

# 6
First-principles (PBE) data for a relaxed KMnTe2 crystal, as listed in Alexandria.

Lattice parameters (Å, degrees): 4.1141 5.2589 5.2589 90.00 90.00 90.00
Last column: nearest neighbours and their distance in Å.
Positions (direct):
K (0.5000, 0.5000, 0.0000)  8 Te 3.34, 4 Mn 3.72
Mn (0.5000, 0.0000, 0.5000)  8 Te 3.34, 4 K 3.72
Te (0.0000, 0.0000, 0.0000)  4 Mn 3.34, 4 K 3.34, 4 Te 3.72
Te (0.0000, 0.5000, 0.5000)  4 Mn 3.34, 4 K 3.34, 4 Te 3.72

Properties
The uncorrected formation energy comes out at -0.017 eV/atom. For the density of states at the Fermi level, the calculation gives 0.485 states/eV/atom. As for the total magnetization: 4.57 Bohr magnetons per cell.

=====

# 7
First-principles (PBE) data for a relaxed LiEu2Br4 crystal, as listed in Alexandria.

Lattice parameters (Å, degrees): 4.8380 4.8380 9.9462 75.92 75.92 90.00
Last column: nearest neighbours and their distance in Å.
Positions (direct):
Eu (0.1587, 0.1587, 0.6825)  1 Li 2.96, 1 Br 2.99
Eu (0.8413, 0.8413, 0.3175)  1 Li 2.96, 1 Br 2.99
Br (0.3189, 0.3189, 0.3623)  1 Eu 2.99
Br (0.6811, 0.6811, 0.6377)  1 Eu 2.99
Br (0.0000, 0.5000, 0.0000)  2 Li 2.42
Br (0.5000, 0.0000, 0.0000)  2 Li 2.42
Li (0.0000, 0.0000, 0.0000)  4 Br 2.42

Properties
The uncorrected formation energy comes out at -1.299 eV/atom. For the density of states at the Fermi level, the calculation gives 0.395 states/eV/atom. As for the total magnetization: 14.58 Bohr magnetons per cell.

=====

# 8
First-principles (PBE) data for a relaxed Pm5TlZn4 crystal, as listed in Alexandria.

Lattice parameters (Å, degrees): 3.6712 3.6712 18.9072 90.00 90.00 90.00
Last column: nearest neighbours and their distance in Å.
Positions (direct):
Pm (0.5000, 0.5000, 0.1154)  4 Zn 3.17, 4 Tl 3.39
Pm (0.5000, 0.5000, 0.3069)  8 Zn 3.16
Pm (0.5000, 0.5000, 0.5000)  8 Zn 3.18
Pm (0.5000, 0.5000, 0.6931)  8 Zn 3.16
Pm (0.5000, 0.5000, 0.8846)  4 Zn 3.17, 4 Tl 3.39
Tl (0.0000, 0.0000, 0.0000)  8 Pm 3.39, 4 Tl 3.67
Zn (0.0000, 0.0000, 0.2119)  8 Pm 3.16-3.17
Zn (0.0000, 0.0000, 0.4025)  8 Pm 3.16-3.18
Zn (0.0000, 0.0000, 0.5975)  8 Pm 3.16-3.18
Zn (0.0000, 0.0000, 0.7881)  8 Pm 3.16-3.17

Properties
The energy is -3.450 eV/atom. For the density of states at the Fermi level, the calculation gives 1.206 states/eV/atom. As for the total magnetization: 0.00 Bohr magnetons per cell.